[1]
{"formula": "RbCdPt2", "functional": "PBE", "state": "optimized geometry", "lattice": [[2.359, 1.362, 6.173], [-2.359, 1.362, 6.173], [0.000, -2.724, 6.173]], "species": ["Rb", "Cd", "Pt", "Pt"], "fractional_positions": [[0.000, 0.000, 0.000], [0.500, 0.500, 0.500], [0.175, 0.175, 0.175], [0.825, 0.825, 0.825]], "dos_ef_per_ev_cell": 2.558, "m_tot_mub_per_cell": 0.0, "formation_energy_ev_per_fu": -0.8}


[2]
{"formula": "SrMg2MnP", "functional": "PBE", "state": "optimized geometry", "lattice": [[6.220, 0.000, 0.000], [0.000, 6.220, 0.000], [0.000, 0.000, 5.367]], "species": ["Sr", "Mg", "Mg", "Mn", "P"], "fractional_positions": [[0.000, 0.000, 0.000], [0.000, 0.500, 0.000], [0.500, 0.000, 0.000], [0.500, 0.500, 0.500], [0.000, 0.000, 0.500]], "dos_ef_per_ev_cell": 4.596, "m_tot_mub_per_cell": 5.5, "formation_energy_ev_per_fu": 6.3}


[3]
{"formula": "Ca2PrI", "functional": "PBE", "state": "optimized geometry", "lattice": [[1.968, 1.136, 10.967], [-1.968, 1.136, 10.967], [0.000, -2.272, 10.967]], "species": ["Ca", "Ca", "Pr", "I"], "fractional_positions": [[0.242, 0.242, 0.242], [0.758, 0.758, 0.758], [0.000, 0.000, 0.000], [0.500, 0.500, 0.500]], "dos_ef_per_ev_cell": 2.949, "m_tot_mub_per_cell": 0.0, "polymorph_energy_ev_per_atom": 0.000, "formation_energy_uncorrected_ev_per_atom": -0.5062}


[4]
{"formula": "PmZn2Pd3", "functional": "PBE", "state": "optimized geometry", "lattice": [[5.585, 0.000, 0.000], [-2.792, 4.837, 0.000], [0.000, 0.000, 4.015]], "species": ["Pm", "Zn", "Zn", "Pd", "Pd", "Pd"], "fractional_positions": [[0.000, 0.000, 0.000], [0.333, 0.667, 0.000], [0.667, 0.333, 0.000], [0.000, 0.500, 0.500], [0.500, 0.000, 0.500], [0.500, 0.500, 0.500]], "dos_ef_per_ev_cell": 2.530, "m_tot_mub_per_cell": 0.0, "formation_energy_ev_per_fu": -4.0}


[5]
{"formula": "NaNbTl2Cl8", "functional": "PBE", "state": "optimized geometry", "lattice": [[6.798, 0.000, 0.000], [0.647, 6.950, 0.000], [0.048, 0.076, 8.877]], "species": ["Na", "Nb", "Tl", "Tl", "Cl", "Cl", "Cl", "Cl", "Cl", "Cl", "Cl", "Cl"], "fractional_positions": [[0.000, 0.000, 0.000], [0.000, 0.000, 0.500], [0.498, 0.506, 0.761], [0.502, 0.494, 0.239], [0.099, 0.214, 0.307], [0.107, 0.207, 0.691], [0.317, 0.742, 0.003], [0.319, 0.832, 0.494], [0.681, 0.168, 0.506], [0.683, 0.258, 0.997], [0.893, 0.793, 0.309], [0.901, 0.786, 0.693]], "m_tot_mub_per_cell": 0.0, "formation_energy_uncorrected_ev_per_atom": -1.2305}


[6]
{"formula": "TbPu3Ru4", "functional": "PBE", "state": "optimized geometry", "lattice": [[3.367, 0.000, 0.000], [0.000, 4.861, 0.000], [0.000, 0.000, 9.522]], "species": ["Tb", "Pu", "Pu", "Pu", "Ru", "Ru", "Ru", "Ru"], "fractional_positions": [[0.000, 0.000, 0.000], [0.000, 0.000, 0.500], [0.000, 0.500, 0.249], [0.000, 0.500, 0.751], [0.500, 0.000, 0.263], [0.500, 0.000, 0.737], [0.500, 0.500, 0.000], [0.500, 0.500, 0.500]], "dos_ef_per_ev_cell": 17.263, "m_tot_mub_per_cell": 12.9, "formation_energy_ev_per_fu": -1.5}


[7]
{"formula": "Sc6CoSn", "functional": "PBE", "state": "optimized geometry", "lattice": [[3.218, -5.189, 0.000], [3.218, 5.189, 0.000], [-2.386, 0.000, 5.665]], "species": ["Sc", "Sc", "Sc", "Sc", "Sc", "Sc", "Co", "Sn"], "fractional_positions": [[0.001, 0.600, 0.763], [0.233, 0.233, 0.794], [0.400, 0.999, 0.237], [0.600, 0.001, 0.763], [0.767, 0.767, 0.206], [0.999, 0.400, 0.237], [0.000, 0.000, 0.000], [0.500, 0.500, 0.500]], "dos_ef_per_ev_cell": 8.798, "m_tot_mub_per_cell": 0.0, "formation_energy_ev_per_fu": -0.5}


[8]
{"formula": "K2ZrPb", "functional": "PBE", "state": "optimized geometry", "lattice": [[0.000, 4.164, 4.164], [4.164, 0.000, 4.164], [4.164, 4.164, 0.000]], "species": ["K", "K", "Zr", "Pb"], "fractional_positions": [[0.250, 0.250, 0.250], [0.750, 0.750, 0.750], [0.000, 0.000, 0.000], [0.500, 0.500, 0.500]], "dos_ef_per_ev_cell": 12.302, "m_tot_mub_per_cell": 2.0, "polymorph_energy_ev_per_atom": 0.667, "formation_energy_ev_per_fu": 3.4}


[9]
{"formula": "Tb4PrCd", "functional": "PBE", "state": "optimized geometry", "lattice": [[2.808, -10.501, 0.000], [2.808, 10.501, 0.000], [0.000, 0.000, 6.560]], "species": ["Tb", "Tb", "Tb", "Tb", "Tb", "Tb", "Tb", "Tb", "Pr", "Pr", "Cd", "Cd"], "fractional_positions": [[0.038, 0.962, 0.500], [0.181, 0.819, 0.315], [0.248, 0.752, 0.786], [0.438, 0.562, 0.679], [0.562, 0.438, 0.179], [0.752, 0.248, 0.286], [0.819, 0.181, 0.815], [0.962, 0.038, 0.000], [0.365, 0.635, 0.171], [0.635, 0.365, 0.671], [0.103, 0.897, 0.926], [0.897, 0.103, 0.426]], "dos_ef_per_ev_cell": 17.925, "m_tot_mub_per_cell": 0.0, "polymorph_energy_ev_per_atom": 0.153, "formation_energy_ev_per_fu": 0.4}


[10]
{"formula": "Ir2Rh3W2", "functional": "PBE", "state": "optimized geometry", "lattice": [[2.136, -9.348, 0.000], [2.136, 9.348, 0.000], [0.000, 0.000, 2.702]], "species": ["Ir", "Ir", "Rh", "Rh", "Rh", "W", "W"], "fractional_positions": [[0.139, 0.861, 0.000], [0.861, 0.139, 0.000], [0.000, 0.000, 0.000], [0.286, 0.714, 0.000], [0.714, 0.286, 0.000], [0.423, 0.577, 0.500], [0.577, 0.423, 0.500]], "dos_ef_per_ev_cell": 8.719, "m_tot_mub_per_cell": 0.0, "formation_energy_ev_per_fu": 1.1}


[11]
{"formula": "MgRu2Br", "functional": "PBE", "state": "optimized geometry", "lattice": [[1.482, -2.559, 0.000], [1.482, 2.559, 0.000], [0.000, 0.000, 8.880]], "species": ["Mg", "Ru", "Ru", "Br"], "fractional_positions": [[0.000, 0.000, 0.000], [0.500, 0.500, 0.253], [0.500, 0.500, 0.747], [0.000, 0.000, 0.500]], "dos_ef_per_ev_cell": 5.680, "m_tot_mub_per_cell": 1.3, "polymorph_energy_ev_per_atom": 0.604, "formation_energy_uncorrected_ev_per_atom": 0.7195}


[12]
{"formula": "Ho3CuGe3", "functional": "PBE", "state": "optimized geometry", "lattice": [[5.291, -2.123, 0.000], [5.291, 2.123, 0.000], [-4.786, 0.000, 12.973]], "species": ["Ho", "Ho", "Ho", "Ho", "Ho", "Ho", "Cu", "Cu", "Ge", "Ge", "Ge", "Ge", "Ge", "Ge"], "fractional_positions": [[0.032, 0.032, 0.381], [0.100, 0.100, 0.922], [0.243, 0.243, 0.226], [0.757, 0.757, 0.774], [0.900, 0.900, 0.078], [0.968, 0.968, 0.619], [0.259, 0.259, 0.605], [0.741, 0.741, 0.395], [0.363, 0.363, 0.454], [0.376, 0.376, 0.924], [0.467, 0.467, 0.766], [0.533, 0.533, 0.234], [0.624, 0.624, 0.076], [0.637, 0.637, 0.546]], "dos_ef_per_ev_cell": 5.961, "m_tot_mub_per_cell": 0.0, "formation_energy_ev_per_fu": -5.4}